(1)
! NdBi2Pb PBE relaxed; values from VASP
! offset from the most stable computed form	6	kJ/mol of formula units
! formation energy	-165	kJ/mol of formula units
&SYSTEM
  ibrav = 0, nat = 4, ntyp = 3
/
ATOMIC_SPECIES
Pb 207.20 Pb.upf
Nd 144.24 Nd.upf
Bi 208.98 Bi.upf
CELL_PARAMETERS angstrom
-0.940 0.118 -4.499
4.945 -1.210 -1.065
-1.211 -5.057 0.121
ATOMIC_POSITIONS angstrom
Pb -0.470 0.059 -2.249
Nd 1.397 -3.074 -2.721
Bi -0.605 -2.529 0.060
Bi 2.473 -0.605 -0.533

---

(2)
! NaTbPb PBE relaxed; values from VASP
! formation energy	-52	kJ/mol of formula units
&SYSTEM
  ibrav = 0, nat = 3, ntyp = 3
/
ATOMIC_SPECIES
Pb 207.20 Pb.upf
Na 22.99 Na.upf
Tb 158.93 Tb.upf
CELL_PARAMETERS angstrom
3.572 0.000 0.000
0.000 5.238 0.000
0.000 -2.619 4.537
ATOMIC_POSITIONS angstrom
Pb 2.613 2.619 1.512
Na 3.260 0.000 0.000
Tb 1.271 0.000 3.024

---

(3)
! BaCe2Bi2O7 PBE relaxed; values from VASP
! formation energy from raw total energies	-27.6	eV per formula unit
&SYSTEM
  ibrav = 0, nat = 12, ntyp = 4
/
ATOMIC_SPECIES
Ba 137.33 Ba.upf
Ce 140.12 Ce.upf
Bi 208.98 Bi.upf
O 16.00 O.upf
CELL_PARAMETERS angstrom
-0.516 2.628 3.348
-2.639 -3.120 2.043
11.506 -4.639 2.671
ATOMIC_POSITIONS angstrom
Ba -0.102 -0.121 0.079
Ce 8.116 -4.004 4.395
Ce 0.222 -1.143 3.677
Bi 4.649 -4.498 4.248
Bi 3.701 -0.635 3.814
O 6.427 -5.399 5.231
O 2.018 -2.023 4.645
O 0.023 -2.380 1.872
O 1.890 0.229 2.857
O 6.324 -3.119 3.424
O 8.137 -2.976 6.337
O -1.227 0.169 2.423

---

Results for E_tot: -17.95; -10.19; -83.87 (in eV per cell, following the order of the records).
Results for DOS(E_F): 2.42; 1.02; 2.88 (in states/eV/cell, following the order of the records).
Results for spin magnetization: 0.0; 0.0; 0.2 (in Bohr magnetons per cell, following the order of the records).